Record 1
Here is a relaxed structure of ScSnIrRu from Alexandria via LeMat-Bulk. Energies are from PBE.

Computed properties:
Uncorrected energy (eV per atom): -7.778
Energy relative to the elements (meV per atom): -660

Lattice parameters (Å, degrees): 4.546 4.546 4.546 60.00 60.00 60.00
Element x y z (fractional)
Ru 0.750 0.750 0.750
Ir 0.250 0.250 0.250
Sn 0.500 0.500 0.500
Sc 0.000 0.000 0.000



Record 2
Here is a relaxed structure of Sc4SnIr2Ru from Alexandria via LeMat-Bulk. Energies are from PBE.

Computed properties:
Uncorrected energy (eV per atom): -7.830
Energy relative to the elements (meV per atom): -789

Lattice parameters (Å, degrees): 4.650 4.650 8.150 73.42 73.42 60.00
Element x y z (fractional)
Sc 0.870 0.870 0.390
Sc 0.130 0.130 0.610
Sn 0.000 0.000 0.000
Ir 0.751 0.751 0.748
Sc 0.617 0.617 0.149
Sc 0.383 0.383 0.851
Ir 0.249 0.249 0.252
Ru 0.500 0.500 0.500



Record 3
Here is a relaxed structure of Sc5Sn2Ir2Ru from Alexandria via LeMat-Bulk. Energies are from PBE.

Computed properties:
Uncorrected energy (eV per atom): -7.303
Energy relative to the elements (meV per atom): -637

Lattice parameters (Å, degrees): 3.243 11.192 11.192 90.00 90.00 90.00
Element x y z (fractional)
Sn 0.000 0.325 0.825
Ir 0.000 0.363 0.137
Sn 0.000 0.825 0.675
Sc 0.500 0.809 0.938
Sn 0.000 0.675 0.175
Sc 0.500 0.691 0.438
Sc 0.500 0.438 0.309
Sc 0.500 0.500 0.000
Sc 0.500 0.309 0.562
Sc 0.500 0.191 0.062
Sc 0.500 0.562 0.691
Ru 0.000 0.000 0.000
Sc 0.500 0.062 0.809
Sc 0.500 0.938 0.191
Ir 0.000 0.137 0.637
Sn 0.000 0.175 0.325
Ru 0.000 0.500 0.500
Ir 0.000 0.863 0.363
Sc 0.500 0.000 0.500
Ir 0.000 0.637 0.863



Record 4
Here is a relaxed structure of ScTa2IrRu from Alexandria via LeMat-Bulk. Energies are from PBE.

Computed properties:
Uncorrected energy (eV per atom): -8.662
Energy relative to the elements (meV per atom): 973

Lattice parameters (Å, degrees): 4.810 4.832 4.810 90.00 90.00 90.00
Element x y z (fractional)
Ru 0.500 0.500 0.500
Ir 0.000 0.000 0.000
Sc 0.000 0.500 0.000
Ta 0.000 0.000 0.500
Ta 0.500 0.000 0.000



Record 5
Here is a relaxed structure of Sc2TaIrRu from Alexandria via LeMat-Bulk. Energies are from PBE.

Computed properties:
Uncorrected energy (eV per atom): -7.333
Energy relative to the elements (meV per atom): 1197

Lattice parameters (Å, degrees): 4.971 4.530 4.971 90.00 90.00 90.00
Element x y z (fractional)
Ir 0.500 0.500 0.500
Ru 0.000 0.500 0.000
Sc 0.000 0.000 0.500
Ta 0.000 0.000 0.000
Sc 0.500 0.000 0.000



Record 6
Here is a relaxed structure of TbScIrRu from Alexandria via LeMat-Bulk. Energies are from PBE.

Computed properties:
Uncorrected energy (eV per atom): -7.938
Energy relative to the elements (meV per atom): -663
E above lowest polymorph (meV per atom): 0

Lattice parameters (Å, degrees): 4.702 4.702 4.702 60.00 60.00 60.00
Element x y z (fractional)
Tb 0.500 0.500 0.500
Ir 0.250 0.250 0.250
Ru 0.750 0.750 0.750
Sc 0.000 0.000 0.000



> Among the records above, which one has the highest energy relative to the elements?

Sc2TaIrRu